Computed, not measured: an optimized crystal structure of Nd7Tl2In at the PBE-GGA level of DFT.

Lattice parameters (Å, degrees): 5.469 5.469 13.094 90.00 90.00 120.00
Atoms (fractional coordinates):
Nd1 0.667 0.333 0.589
Nd2 0.667 0.333 0.853
Nd3 0.000 0.000 0.730
Nd4 0.000 0.000 0.263
Nd5 0.333 0.667 0.438
Nd6 0.333 0.667 0.977
Nd7 0.667 0.333 0.114
Tl1 0.333 0.667 0.704
Tl2 0.667 0.333 0.351
In1 0.000 0.000 0.998

Summary:
The energy of formation comes out at -0.115 eV per atom. The density of states at the Fermi level comes out at 1.75 states/eV per atom.


Computed, not measured: an optimized crystal structure of NaLi2Ag at the PBE-GGA level of DFT.

Lattice parameters (Å, degrees): 4.814 4.814 4.814 60.00 60.00 60.00
Atoms (fractional coordinates):
Na1 0.000 0.000 0.000
Ag1 0.500 0.500 0.500
Li1 0.250 0.250 0.250
Li2 0.750 0.750 0.750

Summary:
The energy of formation comes out at -0.069 eV per atom. The density of states at the Fermi level comes out at 0.40 states/eV per atom.


Computed, not measured: an optimized crystal structure of CeGa4IrPd2 at the PBE-GGA level of DFT.

Lattice parameters (Å, degrees): 4.293 4.293 9.203 76.51 76.51 60.00
Atoms (fractional coordinates):
Ce1 0.000 0.000 0.000
Ga1 0.400 0.400 0.801
Ga2 0.867 0.867 0.398
Ga3 0.133 0.133 0.602
Ga4 0.600 0.600 0.199
Ir1 0.500 0.500 0.500
Pd1 0.764 0.764 0.707
Pd2 0.236 0.236 0.293

Summary:
The energy of formation comes out at -0.582 eV per atom. The density of states at the Fermi level comes out at 0.84 states/eV per atom.


Computed, not measured: an optimized crystal structure of Er4CoTe2Se at the PBE-GGA level of DFT.

Lattice parameters (Å, degrees): 4.031 7.297 7.396 108.01 90.00 90.00
Atoms (fractional coordinates):
Er1 0.500 0.261 0.213
Er2 0.500 0.739 0.787
Er3 0.000 0.288 0.799
Er4 0.000 0.712 0.201
Co1 0.500 0.500 0.000
Te1 0.500 0.000 0.500
Te2 0.000 0.500 0.500
Se1 0.000 0.000 0.000

Summary:
The uncorrected formation energy comes out at -106 kJ/mol of atoms. The density of states at the Fermi level comes out at 0.72 states/eV per atom.


Computed, not measured: an optimized crystal structure of NaLa2AgB at the PBE-GGA level of DFT.

Lattice parameters (Å, degrees): 5.733 5.014 5.733 90.00 90.00 90.00
Atoms (fractional coordinates):
Na1 0.000 0.500 0.000
B1 0.500 0.500 0.500
Ag1 0.000 0.000 0.000
La1 0.000 0.000 0.500
La2 0.500 0.000 0.000

Summary:
The energy of formation comes out at 1.040 eV per atom. The density of states at the Fermi level comes out at 1.60 states/eV per atom.


Computed, not measured: an optimized crystal structure of Pr4InH at the PBE-GGA level of DFT.

Lattice parameters (Å, degrees): 5.900 6.910 9.408 111.54 109.08 90.00
Atoms (fractional coordinates):
Pr1 0.184 0.705 0.410
Pr2 0.390 0.137 0.774
Pr3 0.000 0.255 0.000
Pr4 0.610 0.363 0.226
Pr5 0.816 0.295 0.590
Pr6 0.610 0.863 0.226
Pr7 0.000 0.745 0.000
Pr8 0.390 0.637 0.774
In1 0.808 0.814 0.629
In2 0.192 0.186 0.371
H1 0.292 0.587 0.173
H2 0.708 0.413 0.827

Summary:
As for the total DFT energy (no corrections): -4.437 eV per atom. The density of states at the Fermi level comes out at 1.01 states/eV per atom.


Computed, not measured: an optimized crystal structure of Pm2Y3Pd2 at the PBE-GGA level of DFT.

Lattice parameters (Å, degrees): 3.732 6.588 9.220 116.03 90.00 106.45
Atoms (fractional coordinates):
Pm1 0.842 0.684 0.186
Pm2 0.158 0.316 0.814
Y1 0.500 0.000 0.000
Y2 0.614 0.228 0.440
Y3 0.386 0.772 0.560
Pd1 0.832 0.663 0.762
Pd2 0.168 0.337 0.238

Summary:
The energy of formation comes out at -0.506 eV per atom. The density of states at the Fermi level comes out at 1.28 states/eV per atom.


Computed, not measured: an optimized crystal structure of Mg2Be2Co at the PBE-GGA level of DFT.

Lattice parameters (Å, degrees): 5.741 5.741 4.085 90.00 90.00 90.00
Atoms (fractional coordinates):
Be1 0.359 0.859 0.000
Be2 0.859 0.641 0.000
Be3 0.641 0.141 0.000
Be4 0.141 0.359 0.000
Mg1 0.179 0.679 0.500
Mg2 0.679 0.821 0.500
Mg3 0.821 0.321 0.500
Mg4 0.321 0.179 0.500
Co1 0.000 0.000 0.000
Co2 0.500 0.500 0.000

Summary:
The energy of formation comes out at 0.232 eV per atom. The density of states at the Fermi level comes out at 0.74 states/eV per atom.


Computed, not measured: an optimized crystal structure of CeZrBr5 at the PBE-GGA level of DFT.

Lattice parameters (Å, degrees): 3.746 8.590 14.446 88.93 90.00 90.00
Atoms (fractional coordinates):
Ce1 0.750 0.084 0.143
Ce2 0.250 0.916 0.857
Zr1 0.250 0.349 0.319
Zr2 0.750 0.651 0.681
Br1 0.250 0.029 0.300
Br2 0.750 0.158 0.931
Br3 0.750 0.280 0.453
Br4 0.250 0.350 0.128
Br5 0.250 0.420 0.708
Br6 0.750 0.580 0.292
Br7 0.750 0.650 0.872
Br8 0.250 0.720 0.547
Br9 0.250 0.842 0.069
Br10 0.750 0.971 0.700

Summary:
The uncorrected formation energy comes out at -145 kJ/mol of atoms. The density of states at the Fermi level comes out at 0.68 states/eV per atom.


Computed, not measured: an optimized crystal structure of SrScGa at the PBE-GGA level of DFT.

Lattice parameters (Å, degrees): 4.313 7.430 6.715 116.86 90.00 106.88
Atoms (fractional coordinates):
Sc1 0.218 0.539 0.700
Sc2 0.218 0.539 0.135
Sr1 0.919 0.940 0.618
Sr2 0.518 0.138 0.217
Ga1 0.614 0.330 0.813
Ga2 0.823 0.748 0.022

Summary:
The energy of formation comes out at -0.216 eV per atom. The density of states at the Fermi level comes out at 1.20 states/eV per atom.


Computed, not measured: an optimized crystal structure of HfOsS2N at the PBE-GGA level of DFT.

Lattice parameters (Å, degrees): 4.974 4.974 3.979 90.00 90.00 90.00
Atoms (fractional coordinates):
Hf1 0.000 0.000 0.000
S1 0.000 0.500 0.000
S2 0.500 0.000 0.000
Os1 0.500 0.500 0.500
N1 0.000 0.000 0.500

Summary:
The uncorrected formation energy comes out at 84 kJ/mol of atoms. The density of states at the Fermi level comes out at 0.93 states/eV per atom.


Computed, not measured: an optimized crystal structure of LaMg4Ru at the PBE-GGA level of DFT.

Lattice parameters (Å, degrees): 5.697 5.697 5.697 60.00 60.00 60.00
Atoms (fractional coordinates):
La1 0.000 0.000 0.000
Mg1 0.871 0.376 0.376
Mg2 0.376 0.376 0.871
Mg3 0.376 0.871 0.376
Mg4 0.376 0.376 0.376
Ru1 0.750 0.750 0.750

Summary:
The energy of formation comes out at 0.154 eV per atom. The density of states at the Fermi level comes out at 1.03 states/eV per atom.


Computed, not measured: an optimized crystal structure of Li2AgAs2 at the PBE-GGA level of DFT.

Lattice parameters (Å, degrees): 4.140 4.743 10.612 75.87 78.75 64.12
Atoms (fractional coordinates):
Li1 0.110 0.195 0.585
Li2 0.838 0.266 0.058
Li3 0.890 0.805 0.415
Li4 0.162 0.734 0.942
Ag1 0.174 0.432 0.220
Ag2 0.826 0.568 0.780
As1 0.601 0.400 0.398
As2 0.506 0.862 0.127
As3 0.399 0.600 0.602
As4 0.494 0.138 0.873

Summary:
The energy of formation comes out at -0.321 eV per atom. The density of states at the Fermi level comes out at 0.21 states/eV per atom.


Computed, not measured: an optimized crystal structure of IrRu2Au at the PBE-GGA level of DFT.

Lattice parameters (Å, degrees): 4.775 4.775 4.826 80.47 80.47 33.81
Atoms (fractional coordinates):
Au1 0.250 0.250 0.250
Ir1 0.750 0.750 0.750
Ru1 0.007 0.007 0.980
Ru2 0.493 0.493 0.520

Summary:
The energy of formation comes out at 0.325 eV per atom. The density of states at the Fermi level comes out at 1.56 states/eV per atom.


Computed, not measured: an optimized crystal structure of LiPm2Ni4Sn3 at the PBE-GGA level of DFT.

Lattice parameters (Å, degrees): 4.331 4.331 10.330 90.00 90.00 90.00
Atoms (fractional coordinates):
Li1 0.500 0.500 0.500
Pm1 0.500 0.000 0.245
Pm2 0.000 0.500 0.755
Ni1 0.500 0.500 0.000
Ni2 0.000 0.000 0.000
Ni3 0.500 0.000 0.629
Ni4 0.000 0.500 0.371
Sn1 0.000 0.000 0.500
Sn2 0.500 0.000 0.871
Sn3 0.000 0.500 0.129

Summary:
The energy of formation comes out at -0.451 eV per atom. The density of states at the Fermi level comes out at 0.94 states/eV per atom.


Computed, not measured: an optimized crystal structure of Pt3CS at the PBE-GGA level of DFT.

Lattice parameters (Å, degrees): 4.202 4.202 4.202 90.00 90.00 90.00
Atoms (fractional coordinates):
S1 0.500 0.500 0.500
C1 0.000 0.000 0.000
Pt1 0.000 0.500 0.000
Pt2 0.000 0.000 0.500
Pt3 0.500 0.000 0.000

Summary:
The uncorrected formation energy comes out at 68 kJ/mol of atoms. The density of states at the Fermi level comes out at 0.53 states/eV per atom.


Computed, not measured: an optimized crystal structure of Ag3Te at the PBE-GGA level of DFT.

Lattice parameters (Å, degrees): 6.300 6.300 4.868 90.00 90.00 120.00
Atoms (fractional coordinates):
Ag1 0.845 0.690 0.250
Ag2 0.310 0.155 0.250
Ag3 0.845 0.155 0.250
Ag4 0.155 0.310 0.750
Ag5 0.690 0.845 0.750
Ag6 0.155 0.845 0.750
Te1 0.333 0.667 0.250
Te2 0.667 0.333 0.750

Summary:
The uncorrected formation energy comes out at 4 kJ/mol of atoms. The density of states at the Fermi level comes out at 0.38 states/eV per atom.


Computed, not measured: an optimized crystal structure of Pm5SmRh4 at the PBE-GGA level of DFT.

Lattice parameters (Å, degrees): 4.301 8.061 8.061 76.72 74.53 74.53
Atoms (fractional coordinates):
Pm1 0.590 0.346 0.975
Pm2 0.910 0.025 0.654
Pm3 0.750 0.500 0.500
Pm4 0.590 0.975 0.346
Pm5 0.910 0.654 0.025
Sm1 0.250 0.000 0.000
Rh1 0.250 0.280 0.720
Rh2 0.009 0.241 0.241
Rh3 0.491 0.759 0.759
Rh4 0.250 0.720 0.280

Summary:
The energy of formation comes out at -0.412 eV per atom. The density of states at the Fermi level comes out at 0.53 states/eV per atom.


Computed, not measured: an optimized crystal structure of Dy3InTe2 at the PBE-GGA level of DFT.

Lattice parameters (Å, degrees): 4.227 6.186 7.740 113.56 105.84 90.00
Atoms (fractional coordinates):
Dy1 0.835 0.335 0.171
Dy2 0.165 0.665 0.829
Dy3 0.500 0.000 0.500
In1 0.500 0.500 0.500
Te1 0.831 0.831 0.163
Te2 0.169 0.169 0.837

Summary:
The uncorrected formation energy comes out at -99 kJ/mol of atoms. The density of states at the Fermi level comes out at 0.17 states/eV per atom.


Computed, not measured: an optimized crystal structure of Pu2NpUSb4 at the PBE-GGA level of DFT.

Lattice parameters (Å, degrees): 4.361 7.550 7.766 109.00 90.00 90.00
Atoms (fractional coordinates):
Pu1 0.500 0.000 0.500
Pu2 0.000 0.500 0.500
Np1 0.000 0.000 0.000
U1 0.500 0.500 0.000
Sb1 0.500 0.251 0.248
Sb2 0.500 0.749 0.752
Sb3 0.000 0.252 0.753
Sb4 0.000 0.748 0.247

Summary:
The uncorrected formation energy comes out at -36 kJ/mol of atoms. The density of states at the Fermi level comes out at 5.49 states/eV per atom.


| no. | volume (Å³/f.u.) |
| --- | --- |
| 1 | 339 |
| 2 | 79 |
| 3 | 141 |
| 4 | 207 |
| 5 | 165 |
| 6 | 167 |
| 7 | 193 |
| 8 | 67 |
| 9 | 232 |
| 10 | 91 |
| 11 | 98 |
| 12 | 131 |
| 13 | 90 |
| 14 | 60 |
| 15 | 194 |
| 16 | 74 |
| 17 | 84 |
| 18 | 256 |
| 19 | 177 |
| 20 | 242 |